First-principles (PBE-GGA) data for crystalline Y2HfZn at its relaxed geometry, as listed in the Alexandria database.

The space group is R-3m (No. 166, hexagonal axes) and the conventional cell measures 3.2667, 3.2667 and 33.7793 Å, with angles of 90.00, 90.00 and 120.00 degrees. The inequivalent atoms are Y at (0.0000, 0.0000, 0.0957), Hf at (0.0000, 0.0000, 0.0000) and Zn at (0.0000, 0.0000, 0.5000).

Its spin magnetization is 0.0 μB/f.u. Its calculated total energy is -5.707 eV per atom. The formation energy is 0.33 eV per atom.



First-principles (PBE-GGA) data for crystalline Ac2Cu4Ge3Pd at its relaxed geometry, as listed in the Alexandria database.

The space group is P-4m2 (No. 115) and the conventional cell measures 4.396, 4.396 and 10.049 Å, with angles of 90.00, 90.00 and 90.00 degrees. The inequivalent atoms are Ac at (0.000, 0.500, 0.249), Cu at (0.000, 0.000, 0.000), Cu at (0.000, 0.500, 0.630), Cu at (0.500, 0.500, 0.000), Ge at (0.000, 0.500, 0.876), Ge at (0.500, 0.500, 0.500) and Pd at (0.000, 0.000, 0.500).

Its spin magnetization is 0.0 μB/f.u. Its calculated total energy is -4.844 eV per atom. The formation energy is -0.48 eV per atom.



First-principles (PBE-GGA) data for crystalline BeTe2PtN at its relaxed geometry, as listed in the Alexandria database.

The space group is P4/mmm (No. 123) and the conventional cell measures 5.560, 5.560 and 3.661 Å, with angles of 90.00, 90.00 and 90.00 degrees. The inequivalent atoms are Be at (0.000, 0.000, 0.000), Te at (0.000, 0.500, 0.500), Pt at (0.500, 0.500, 0.500) and N at (0.500, 0.500, 0.000).

Its spin magnetization is 0.0 μB/f.u. For the relative energy among the computed polymorphs, the calculation gives 235 kJ/mol of formula units. Its calculated total energy is -4.039 eV per atom.



First-principles (PBE-GGA) data for crystalline FeW3N at its relaxed geometry, as listed in the Alexandria database.

The space group is Pm-3m (No. 221) and the conventional cell measures 4.426, 4.426 and 4.426 Å, with angles of 90.00, 90.00 and 90.00 degrees. The inequivalent atoms are Fe at (0.000, 0.000, 0.000), W at (0.000, 0.000, 0.500) and N at (0.500, 0.500, 0.500).

Its spin magnetization is 0.0 μB/f.u. For the relative energy among the computed polymorphs, the calculation gives 1079 kJ/mol of formula units. Its calculated total energy is -8.690 eV per atom.



First-principles (PBE-GGA) data for crystalline NbV2P4 at its relaxed geometry, as listed in the Alexandria database.

The space group is I4/mmm (No. 139) and the conventional cell measures 4.702, 4.702 and 12.134 Å, with angles of 90.00, 90.00 and 90.00 degrees. The inequivalent atoms are Nb at (0.000, 0.000, 0.000), V at (0.000, 0.000, 0.394), P at (0.000, 0.000, 0.210) and P at (0.000, 0.500, 0.000).

Its spin magnetization is 3.8 μB/f.u. Its calculated total energy is -6.897 eV per atom. The formation energy is 0.24 eV per atom.



First-principles (PBE-GGA) data for crystalline Pt3W5 at its relaxed geometry, as listed in the Alexandria database.

The space group is C2/c (No. 15) and the conventional cell measures 11.317, 10.143 and 5.017 Å, with angles of 90.00, 116.23 and 90.00 degrees. The inequivalent atoms are Pt at (0.000, 0.000, 0.250), Pt at (0.170, 0.330, 0.169), W at (0.000, 0.500, 0.250), W at (0.073, 0.230, 0.573) and W at (0.230, 0.074, 0.231).

Its spin magnetization is 0.0 μB/f.u. For the relative energy among the computed polymorphs, the calculation gives 120 kJ/mol of formula units. Its calculated total energy is -10.329 eV per atom. The formation energy is 0.03 eV per atom.



First-principles (PBE-GGA) data for crystalline LiZrTe2N at its relaxed geometry, as listed in the Alexandria database.

The space group is P4/mmm (No. 123) and the conventional cell measures 5.172, 5.172 and 3.650 Å, with angles of 90.00, 90.00 and 90.00 degrees. The inequivalent atoms are Li at (0.000, 0.000, 0.000), Zr at (0.500, 0.500, 0.500), Te at (0.000, 0.500, 0.000) and N at (0.000, 0.000, 0.500).

Its spin magnetization is 1.1 μB/f.u. For the relative energy among the computed polymorphs, the calculation gives 325 kJ/mol of formula units. Its calculated total energy is -4.565 eV per atom.



First-principles (PBE-GGA) data for crystalline Pm2Dy3Sc3 at its relaxed geometry, as listed in the Alexandria database.

The space group is C2/m (No. 12) and the conventional cell measures 22.605, 3.494 and 5.961 Å, with angles of 90.00, 93.91 and 90.00 degrees. The inequivalent atoms are Pm at (0.247, 0.000, 0.250), Dy at (0.000, 0.000, 0.500), Dy at (0.122, 0.000, 0.877), Sc at (0.000, 0.500, 0.000) and Sc at (0.122, 0.500, 0.374).

Its spin magnetization is 0.0 μB/f.u. For the relative energy among the computed polymorphs, the calculation gives 0 kJ/mol of formula units. Its calculated total energy is -5.236 eV per atom. The formation energy is 0.05 eV per atom.



Which value of spin magnetization does entry 3 give? 0.0 μB/f.u.



spin magnetization of number 1 (Y2HfZn)? 0.0 μB/f.u.



Which formula does entry 8 have? Pm2Dy3Sc3